Record 1
First-principles (PBE) data for a geometry-optimized CaBe3Ag structure, as listed in Alexandria via LeMat-Bulk.

Space group: No. 221
Total magnetic moment in μB/atom: 0.00
Formation energy in eV per atom: 0.460

Cell lengths 4.4322, 4.4322, 4.4322 Å; angles 90.00, 90.00, 90.00 degrees
Last column: nearest neighbours and their distance in Å.
Atoms (fractional coordinates):
Be 0.0000 0.5000 0.0000  2 Ag 2.22
Be 0.0000 0.0000 0.5000  2 Ag 2.22
Be 0.5000 0.0000 0.0000  2 Ag 2.22
Ca 0.5000 0.5000 0.5000  12 Be 3.13
Ag 0.0000 0.0000 0.0000  6 Be 2.22

***

Record 2
First-principles (PBE) data for a geometry-optimized Ca2BeAg structure, as listed in Alexandria via LeMat-Bulk.

Space group: No. 119
Total magnetic moment in μB/atom: 0.00
Formation energy in eV per atom: 0.235

Cell lengths 5.6017, 5.6017, 5.6017 Å; angles 132.84, 132.84, 68.90 degrees
Last column: nearest neighbours and their distance in Å.
Atoms (fractional coordinates):
Be 0.7500 0.2500 0.5000  8 Ca 3.17-3.22, 4 Ag 3.22
Ca 0.0000 0.0000 0.0000  4 Ag 3.17, 4 Ca 3.22, 4 Be 3.22
Ca 0.2500 0.7500 0.5000  4 Be 3.17, 4 Ca 3.22, 4 Ag 3.22
Ag 0.5000 0.5000 0.0000  8 Ca 3.17-3.22, 4 Be 3.22

***

Record 3
First-principles (PBE) data for a geometry-optimized CaBe2Ag structure, as listed in Alexandria via LeMat-Bulk.

Space group: No. 216
Total magnetic moment in μB/atom: 0.00
Formation energy in eV per atom: 0.423

Cell lengths 4.5766, 4.5766, 4.5766 Å; angles 60.00, 60.00, 60.00 degrees
Last column: nearest neighbours and their distance in Å.
Atoms (fractional coordinates):
Be 0.0000 0.0000 0.0000  4 Be 2.80, 4 Ca 2.80
Be 0.2500 0.2500 0.2500  4 Be 2.80, 4 Ag 2.80
Ca 0.7500 0.7500 0.7500  4 Be 2.80, 4 Ag 2.80
Ag 0.5000 0.5000 0.5000  4 Ca 2.80, 4 Be 2.80

***

Record 4
First-principles (PBE) data for a geometry-optimized CaBeAg structure, as listed in Alexandria via LeMat-Bulk.

Space group: No. 216
Total magnetic moment in μB/atom: 0.00
Formation energy in eV per atom: 0.743

Cell lengths 4.8079, 4.8079, 4.8079 Å; angles 60.00, 60.00, 60.00 degrees
Last column: nearest neighbours and their distance in Å.
Atoms (fractional coordinates):
Be 0.5000 0.5000 0.5000  4 Ca 2.94
Ca 0.7500 0.7500 0.7500  4 Be 2.94, 4 Ag 2.94
Ag 0.0000 0.0000 0.0000  4 Ca 2.94

***

> What is the total magnetic moment in the third record?

0.00 μB/atom